1.
VASP calculation (PBE) on a geometry-optimized Ac6CoSn2 structure.

Output
N(E_F)   1.486 states/eV/atom
Energy relative to the elements   -0.10 eV per atom
Energy   -81.41 eV for the cell shown

Cell lengths 7.4688, 7.4688, 14.3479 Å; angles 90.00, 90.00, 90.00 degrees
With the nearest neighbours (Å) after each atom.
Sites, in units of the cell vectors:
Ac  0.1898  0.1898  0.1466  1 Co 2.91
Ac  0.1898  0.1898  0.8534  1 Co 2.91
Ac  0.2222  0.2222  0.5000  1 Co 2.93
Ac  0.2778  0.7222  0.0000  1 Co 2.93
Ac  0.3102  0.6898  0.3534  1 Co 2.91
Ac  0.3102  0.6898  0.6466  1 Co 2.91
Ac  0.6898  0.3102  0.3534  1 Co 2.91
Ac  0.6898  0.3102  0.6466  1 Co 2.91
Ac  0.7222  0.2778  0.0000  1 Co 2.93
Ac  0.7778  0.7778  0.5000  1 Co 2.93
Ac  0.8102  0.8102  0.1466  1 Co 2.91
Ac  0.8102  0.8102  0.8534  1 Co 2.91
Co  0.0000  0.0000  0.0000  6 Ac 2.91-2.93
Co  0.5000  0.5000  0.5000  6 Ac 2.91-2.93
Sn  0.0000  0.0000  0.3322  6 Ac 3.29-3.36
Sn  0.0000  0.0000  0.6678  6 Ac 3.29-3.36
Sn  0.5000  0.5000  0.1678  6 Ac 3.29-3.36
Sn  0.5000  0.5000  0.8322  6 Ac 3.29-3.36

---

2.
VASP calculation (PBE) on a geometry-optimized In2HgMo structure.

Output
N(E_F)   0.052 states/eV/atom
Energy relative to the elements   0.68 eV per atom
Energy   -55.59 eV for the cell shown

Cell lengths 7.7407, 7.7407, 5.9732 Å; angles 90.00, 90.00, 90.00 degrees
With the nearest neighbours (Å) after each atom.
Sites, in units of the cell vectors:
In  0.2438  0.2500  0.1250  2 Mo 2.80, 2 Hg 2.87, 2 In 2.99
In  0.2500  0.7438  0.3750  2 Mo 2.80, 2 Hg 2.87, 2 In 2.99
In  0.2500  0.7562  0.8750  2 Mo 2.80, 2 Hg 2.87, 2 In 2.99
In  0.2562  0.2500  0.6250  2 Mo 2.80, 2 Hg 2.87, 2 In 2.99
In  0.7438  0.7500  0.6250  2 Mo 2.80, 2 Hg 2.87, 2 In 2.99
In  0.7500  0.2438  0.8750  2 Mo 2.80, 2 Hg 2.87, 2 In 2.99
In  0.7500  0.2562  0.3750  2 Mo 2.80, 2 Hg 2.87, 2 In 2.99
In  0.7562  0.7500  0.1250  2 Mo 2.80, 2 Hg 2.87, 2 In 2.99
Hg  0.0000  0.0000  0.5000  4 In 2.87, 2 Mo 2.99
Hg  0.0000  0.5000  0.7500  4 In 2.87, 2 Mo 2.99
Hg  0.5000  0.0000  0.2500  4 In 2.87, 2 Mo 2.99
Hg  0.5000  0.5000  0.0000  4 In 2.87, 2 Mo 2.99
Mo  0.0000  0.0000  0.0000  4 In 2.80, 2 Hg 2.99
Mo  0.0000  0.5000  0.2500  4 In 2.80, 2 Hg 2.99
Mo  0.5000  0.0000  0.7500  4 In 2.80, 2 Hg 2.99
Mo  0.5000  0.5000  0.5000  4 In 2.80, 2 Hg 2.99

---

3.
VASP calculation (PBE) on a geometry-optimized TaHgSe2O8 structure.

Output
N(E_F)   0.343 states/eV/atom
Formation energy without anion corrections   -25.584 kcal/mol of atoms
Energy   -72.10 eV for the cell shown

Cell lengths 4.9688, 4.9688, 6.9620 Å; angles 90.68, 90.68, 83.78 degrees
With the nearest neighbours (Å) after each atom.
Sites, in units of the cell vectors:
Ta  0.0000  0.0000  0.0000  6 O 1.99-2.04
Hg  0.0000  0.0000  0.5000  6 O 2.29-2.44
Se  0.4249  0.4249  0.7633  2 O 1.69-1.74
Se  0.5751  0.5751  0.2367  2 O 1.69-1.74
O  0.1590  0.7606  0.7904  1 Ta 1.99, 1 Se 2.02
O  0.2394  0.8410  0.2096  1 Ta 1.99, 1 Se 2.02
O  0.2712  0.2712  0.9497  1 Se 1.74
O  0.3057  0.3057  0.5546  1 Se 1.69
O  0.6943  0.6943  0.4454  1 Se 1.69
O  0.7288  0.7288  0.0503  1 Se 1.74
O  0.7606  0.1590  0.7904  1 Ta 1.99, 1 Se 2.02
O  0.8410  0.2394  0.2096  1 Ta 1.99, 1 Se 2.02